No. 1
A plane-wave DFT calculation with PBE was carried out for crystalline Y2Ho2Al at its relaxed geometry.

The structure belongs to space group Immm (No. 71); the cell edges are 3.623, 7.927 and 10.381 Å and the angles 90.00°, 90.00° and 90.00°. The inequivalent atoms are Y at (0.000, 0.000, 0.247), Ho at (0.000, 0.301, 0.000) and Al at (0.000, 0.500, 0.500).

As for the total energy: -5.218 eV/atom.

No. 2
A plane-wave DFT calculation with PBE was carried out for crystalline LuMgScPt at its relaxed geometry.

The structure belongs to space group F-43m (No. 216); the cell edges are 6.787, 6.787 and 6.787 Å and the angles 90.00°, 90.00° and 90.00°. The inequivalent atoms are Lu at (0.000, 0.000, 0.000), Mg at (0.000, 0.000, 0.500), Sc at (0.250, 0.250, 0.250) and Pt at (0.250, 0.250, 0.750).

As for the total energy: -5.152 eV/atom.

No. 3
A plane-wave DFT calculation with PBE was carried out for crystalline ErNiPd at its relaxed geometry.

The structure belongs to space group F-43m (No. 216); the cell edges are 6.124, 6.124 and 6.124 Å and the angles 90.00°, 90.00° and 90.00°. The inequivalent atoms are Er at (0.000, 0.000, 0.000), Ni at (0.250, 0.250, 0.250) and Pd at (0.000, 0.000, 0.500).

For the formation energy, the calculation gives -0.43 eV/atom.

No. 4
A plane-wave DFT calculation with PBE was carried out for crystalline RbBaTbSe3 at its relaxed geometry.

The structure belongs to space group Cmcm (No. 63); the cell edges are 4.372, 19.677 and 12.413 Å and the angles 90.00°, 90.00° and 90.00°. The inequivalent atoms are Rb at (0.000, 0.132, 0.250), Ba at (0.000, 0.112, 0.750), Tb at (0.000, 0.500, 0.000), Se at (0.000, 0.098, 0.502) and Se at (0.000, 0.499, 0.250).

As for the total energy: -4.544 eV/atom.

No. 5
A plane-wave DFT calculation with PBE was carried out for crystalline KTaPb at its relaxed geometry.

The structure belongs to space group F-43m (No. 216); the cell edges are 7.306, 7.306 and 7.306 Å and the angles 90.00°, 90.00° and 90.00°. The inequivalent atoms are K at (0.000, 0.000, 0.000), Ta at (0.000, 0.000, 0.500) and Pb at (0.250, 0.250, 0.250).

As for the total energy: -4.159 eV/atom.

No. 6
A plane-wave DFT calculation with PBE was carried out for crystalline NdHg3Se4Br at its relaxed geometry.

The structure belongs to space group P6_3mc (No. 186); the cell edges are 8.1013, 8.1013 and 8.9319 Å and the angles 90.00°, 90.00° and 120.00°. The inequivalent atoms are Nd at (0.0000, 0.0000, 0.0000), Hg at (0.0172, 0.5086, 0.1525), Se at (0.1459, 0.2917, 0.7411), Se at (0.3333, 0.6667, 0.9963) and Br at (0.3333, 0.6667, 0.4246).

As for the total energy: -2.984 eV/atom.

No. 7
A plane-wave DFT calculation with PBE was carried out for crystalline ReAs at its relaxed geometry.

The structure belongs to space group F-43m (No. 216); the cell edges are 5.564, 5.564 and 5.564 Å and the angles 90.00°, 90.00° and 90.00°. The inequivalent atoms are Re at (0.000, 0.000, 0.000) and As at (0.250, 0.250, 0.250).

As for the total energy: -7.611 eV/atom.

No. 8
A plane-wave DFT calculation with PBE was carried out for crystalline HfMgAlNi at its relaxed geometry.

The structure belongs to space group F-43m (No. 216); the cell edges are 6.356, 6.356 and 6.356 Å and the angles 90.00°, 90.00° and 90.00°. The inequivalent atoms are Hf at (0.000, 0.000, 0.000), Mg at (0.250, 0.250, 0.250), Al at (0.000, 0.000, 0.500) and Ni at (0.250, 0.250, 0.750).

As for the total energy: -5.394 eV/atom.

For reference, calculated volume by record: 298 313 230 1068 390 508 172 257 Å³ per cell.